No. 1
First-principles (PBE-GGA) data for a relaxed structure of AlSiAg2, as listed in Alexandria.

Cell lengths 9.476, 3.085, 4.670 Å; angles 90.00, 96.06, 90.00 degrees
Space group Cm (No. 8)
Inequivalent atoms, fractional coordinates:
Al1 0.000 0.000 0.000
Si1 0.251 0.500 0.249
Ag1 0.005 0.500 0.494
Ag2 0.251 0.000 0.757

calculated volume: 136 Å³/cell
formation energy (no corrections): 0.15 eV per atom
M_tot: 0.000 Bohr magnetons per cell
energy: -14.26 eV/f.u.

No. 2
First-principles (PBE-GGA) data for a relaxed structure of AlSiAg2, as listed in Alexandria.

Cell lengths 2.836, 4.749, 5.141 Å; angles 90.00, 95.27, 90.00 degrees
Space group P2/m (No. 10)
Inequivalent atoms, fractional coordinates:
Al1 0.000 0.000 0.000
Si1 0.500 0.000 0.500
Ag1 0.291 0.500 0.244

calculated volume: 69 Å³/cell
formation energy (no corrections): 0.19 eV per atom
M_tot: 0.000 Bohr magnetons per cell
energy: -14.10 eV/f.u.

No. 3
First-principles (PBE-GGA) data for a relaxed structure of AlSiAg, as listed in Alexandria.

Cell lengths 4.2214, 4.2214, 7.2354 Å; angles 90.00, 90.00, 120.00 degrees
Space group P6_3/mmc (No. 194)
Inequivalent atoms, fractional coordinates:
Al1 0.3333 0.6667 0.2500
Si1 0.3333 0.6667 0.7500
Ag1 0.0000 0.0000 0.0000

calculated volume: 112 Å³/cell
formation energy (no corrections): 0.31 eV per atom
M_tot: 0.000 Bohr magnetons per cell
energy: -11.07 eV/f.u.

No. 4
First-principles (PBE-GGA) data for a relaxed structure of AlSiAg, as listed in Alexandria.

Cell lengths 6.055, 6.022, 6.019 Å; angles 90.00, 90.00, 90.00 degrees
Space group Pbcm (No. 57)
Inequivalent atoms, fractional coordinates:
Al1 0.000 0.250 0.000
Si1 0.231 0.001 0.250
Ag1 0.500 0.250 0.000

calculated volume: 219 Å³/cell
formation energy (no corrections): 0.06 eV per atom
M_tot: 0.000 Bohr magnetons per cell
energy: -11.82 eV/f.u.

No. 5
First-principles (PBE-GGA) data for a relaxed structure of Al2Si2Ag, as listed in Alexandria.

Cell lengths 7.736, 7.736, 2.786 Å; angles 90.00, 90.00, 90.00 degrees
Space group P4/mbm (No. 127)
Inequivalent atoms, fractional coordinates:
Al1 0.144 0.356 0.000
Si1 0.154 0.654 0.500
Ag1 0.000 0.000 0.500

calculated volume: 167 Å³/cell
formation energy (no corrections): 0.23 eV per atom
M_tot: 0.000 Bohr magnetons per cell
energy: -20.03 eV/f.u.

No. 6
First-principles (PBE-GGA) data for a relaxed structure of AlSiAg2, as listed in Alexandria.

Cell lengths 3.989, 3.989, 4.253 Å; angles 90.00, 90.00, 90.00 degrees
Space group P4/mmm (No. 123)
Inequivalent atoms, fractional coordinates:
Al1 0.000 0.000 0.000
Si1 0.500 0.500 0.000
Ag1 0.000 0.500 0.500

calculated volume: 68 Å³/cell
formation energy (no corrections): 0.17 eV per atom
M_tot: 0.000 Bohr magnetons per cell
energy: -14.19 eV/f.u.

No. 7
First-principles (PBE-GGA) data for a relaxed structure of AlSi2Ag, as listed in Alexandria.

Cell lengths 4.176, 4.176, 7.526 Å; angles 90.00, 90.00, 90.00 degrees
Space group I-4m2 (No. 119)
Inequivalent atoms, fractional coordinates:
Al1 0.000 0.000 0.000
Si1 0.000 0.000 0.500
Si2 0.000 0.500 0.750
Ag1 0.000 0.500 0.250

calculated volume: 131 Å³/cell
formation energy (no corrections): 0.35 eV per atom
M_tot: 0.000 Bohr magnetons per cell
energy: -16.03 eV/f.u.

No. 8
First-principles (PBE-GGA) data for a relaxed structure of AlSiAg2, as listed in Alexandria.

Cell lengths 4.014, 4.014, 8.404 Å; angles 90.00, 90.00, 90.00 degrees
Space group I4/mmm (No. 139)
Inequivalent atoms, fractional coordinates:
Al1 0.000 0.000 0.000
Si1 0.000 0.000 0.500
Ag1 0.000 0.500 0.250

calculated volume: 135 Å³/cell
formation energy (no corrections): 0.17 eV per atom
M_tot: 0.000 Bohr magnetons per cell
energy: -14.17 eV/f.u.

Q: Look up the energy of the second one.
A: -14.10 eV/f.u.

Q: What is the M_tot in the sixth record?
A: 0.000 Bohr magnetons per cell